Entry from Alexandria via LeMat-Bulk: a relaxed Li2MoIr crystal (PBE).

Space-group type: No. 65
M_tot (μB per formula unit): 0.0
Raw total energy (eV per cell): -22.998
Excess energy over the best structure of this formula in the dataset (meV per atom): 185.5
ΔE_f (meV per atom): 130

The structure in POSCAR format:
```
Li2MoIr
1.0
2.6131 0.0253 0.0000
-1.0810 2.3791 0.0000
0.0000 0.0000 9.3863
Ir Li Mo
1 2 1
direct
0.5000 0.5000 0.7500
0.0000 0.0000 0.9820
0.0000 0.0000 0.5180
0.5000 0.5000 0.2500
```

=====

Entry from Alexandria via LeMat-Bulk: a relaxed LiMoIr2 crystal (PBE).

Space-group type: No. 10
M_tot (μB per formula unit): 0.2
Raw total energy (eV per cell): -30.855
Excess energy over the best structure of this formula in the dataset (meV per atom): 107.3
ΔE_f (meV per atom): -97

The structure in POSCAR format:
```
LiMoIr2
1.0
-2.2790 -1.6951 2.8564
-0.5366 -2.0762 -1.6602
3.8053 -3.5803 0.9115
Ir Li Mo
2 1 1
direct
0.0000 0.0925 0.0153
0.0000 0.4075 0.4847
0.5000 0.2500 0.2500
0.5000 0.7500 0.7500
```

=====

Entry from Alexandria via LeMat-Bulk: a relaxed LiMoIr2 crystal (PBE).

Space-group type: No. 160
M_tot (μB per formula unit): 0.0
Raw total energy (eV per cell): -30.218
Excess energy over the best structure of this formula in the dataset (meV per atom): 266.6
ΔE_f (meV per atom): 62

The structure in POSCAR format:
```
LiMoIr2
1.0
-1.9504 -3.2303 -8.6781
-3.4856 -4.9786 -7.2535
-4.4825 -2.5336 -7.9396
Ir Li Mo
2 1 1
direct
0.0003 0.0003 0.0003
0.2499 0.2499 0.2499
0.5047 0.5047 0.5047
0.7451 0.7451 0.7451
```

=====

Entry from Alexandria via LeMat-Bulk: a relaxed LiMoIr2 crystal (PBE).

Space-group type: No. 122
M_tot (μB per formula unit): 0.0
Raw total energy (eV per cell): -57.893
Excess energy over the best structure of this formula in the dataset (meV per atom): 584.5
ΔE_f (meV per atom): 380

The structure in POSCAR format:
```
LiMoIr2
1.0
-4.7203 -5.2122 -0.2034
4.8504 -4.4869 2.4147
-0.6656 -4.2859 3.6207
Mo Ir Li
2 4 2
direct
0.0000 0.0000 0.0000
0.7500 0.2500 0.5000
0.6563 0.1250 0.2500
0.0937 0.6250 0.2500
0.3750 0.3437 0.7500
0.8750 0.9063 0.7500
0.5000 0.5000 0.0000
0.2500 0.7500 0.5000
```

=====

Entry from Alexandria via LeMat-Bulk: a relaxed LiMo2Ir crystal (PBE).

Space-group type: No. 166
M_tot (μB per formula unit): 0.0
Raw total energy (eV per cell): -31.588
Excess energy over the best structure of this formula in the dataset (meV per atom): 192.1
ΔE_f (meV per atom): 212

The structure in POSCAR format:
```
LiMo2Ir
1.0
-5.9266 -7.4161 -1.4859
-3.7708 -8.3282 -2.9585
-3.8780 -8.7885 -0.2337
Ir Li Mo
1 1 2
direct
0.2500 0.2500 0.2500
0.7500 0.7500 0.7500
0.9952 0.9952 0.9952
0.5048 0.5048 0.5048
```

=====

Entry from Alexandria via LeMat-Bulk: a relaxed LiMo2Ir crystal (PBE).

Space-group type: No. 123
M_tot (μB per formula unit): 0.0
Raw total energy (eV per cell): -31.197
Excess energy over the best structure of this formula in the dataset (meV per atom): 289.9
ΔE_f (meV per atom): 310

The structure in POSCAR format:
```
LiMo2Ir
1.0
-1.6256 -4.2481 1.0766
4.2140 -1.2000 1.6279
-0.7004 0.8946 2.4724
Ir Li Mo
1 1 2
direct
0.5000 0.0000 0.5000
0.0000 0.5000 0.5000
0.0000 0.0000 0.0000
0.5000 0.5000 0.0000
```

=====

Entry from Alexandria via LeMat-Bulk: a relaxed Li2MoIr crystal (PBE).

Space-group type: No. 47
M_tot (μB per formula unit): 0.0
Raw total energy (eV per cell): -22.764
Excess energy over the best structure of this formula in the dataset (meV per atom): 244.2
ΔE_f (meV per atom): 189

The structure in POSCAR format:
```
Li2MoIr
1.0
-1.0357 1.8676 1.5727
-4.0019 -1.5876 -0.7502
0.4708 -3.0381 3.9177
Ir Li Mo
1 2 1
direct
0.5000 0.5000 0.7500
0.0000 0.0000 0.9859
0.0000 0.0000 0.5141
0.5000 0.5000 0.2500
```

=====

Entry from Alexandria via LeMat-Bulk: a relaxed LiMo2Ir2 crystal (PBE).

Space-group type: No. 127
M_tot (μB per formula unit): 0.0
Raw total energy (eV per cell): -83.208
Excess energy over the best structure of this formula in the dataset (meV per atom): 8.9
ΔE_f (meV per atom): -61

The structure in POSCAR format:
```
LiMo2Ir2
1.0
7.7613 0.0000 0.0000
0.0000 7.7613 0.0000
0.0000 0.0000 2.7404
Mo Ir Li
4 4 2
direct
0.3797 0.8797 0.0000
0.8797 0.6203 0.0000
0.6203 0.1203 0.0000
0.1203 0.3797 0.0000
0.1701 0.6701 0.5000
0.6701 0.8299 0.5000
0.8299 0.3299 0.5000
0.3299 0.1701 0.5000
0.0000 0.0000 0.0000
0.5000 0.5000 0.0000
```

=====

Entry from Alexandria via LeMat-Bulk: a relaxed LiMoIr2 crystal (PBE).

Space-group type: No. 139
M_tot (μB per formula unit): 0.0
Raw total energy (eV per cell): -31.256
Excess energy over the best structure of this formula in the dataset (meV per atom): 7.2
ΔE_f (meV per atom): -197

The structure in POSCAR format:
```
LiMoIr2
1.0
4.4803 -0.0031 0.0000
0.8252 4.4037 0.0000
-2.6527 -2.2003 2.8627
Mo Ir Li
1 2 1
direct
0.7500 0.2500 0.5000
0.0000 0.0000 0.0000
0.5000 0.5000 0.0000
0.2500 0.7500 0.5000
```

=====

Entry from Alexandria via LeMat-Bulk: a relaxed LiMoIr2 crystal (PBE).

Space-group type: No. 225
M_tot (μB per formula unit): 0.0
Raw total energy (eV per cell): -31.041
Excess energy over the best structure of this formula in the dataset (meV per atom): 60.8
ΔE_f (meV per atom): -144

The structure in POSCAR format:
```
LiMoIr2
1.0
0.0000 3.0480 3.0480
3.0480 0.0000 3.0480
3.0480 3.0480 0.0000
Mo Ir Li
1 2 1
direct
0.5000 0.5000 0.5000
0.2500 0.2500 0.2500
0.7500 0.7500 0.7500
0.0000 0.0000 0.0000
```

=====

Entry from Alexandria via LeMat-Bulk: a relaxed LiMo4Ir crystal (PBE).

Space-group type: No. 216
M_tot (μB per formula unit): 0.0
Raw total energy (eV per cell): -51.903
ΔE_f (meV per atom): 366

The structure in POSCAR format:
```
LiMo4Ir
1.0
0.0000 3.6528 3.6528
3.6528 0.0000 3.6528
3.6528 3.6528 0.0000
Li Mo Ir
1 4 1
direct
0.0000 0.0000 0.0000
0.8784 0.3739 0.3739
0.3739 0.3739 0.8784
0.3739 0.8784 0.3739
0.3739 0.3739 0.3739
0.7500 0.7500 0.7500
```

=====

Entry from Alexandria via LeMat-Bulk: a relaxed LiMo2Ir crystal (PBE).

Space-group type: No. 123
M_tot (μB per formula unit): 0.0
Raw total energy (eV per cell): -31.830
Excess energy over the best structure of this formula in the dataset (meV per atom): 131.7
ΔE_f (meV per atom): 152

The structure in POSCAR format:
```
LiMo2Ir
1.0
4.0118 0.0000 0.0000
0.0000 3.8027 0.0000
0.0000 0.0000 3.8027
Ir Li Mo
1 1 2
direct
0.5000 0.5000 0.0000
0.5000 0.0000 0.5000
0.0000 0.0000 0.0000
0.0000 0.5000 0.5000
```

=====

- The lowest ΔE_f belongs to which entry?
  number 9

=====

- Which formula does entry 2 have?
  LiMoIr2